Entry 1:
Density functional theory data (GGA-PBE) for an optimized crystal structure of KInHBr.

Summary:
- VASP energy (eV/f.u.) = -10.3
- magnetic moment (μB/f.u.) = 0.0

Lattice parameters (Å, degrees): 5.3610 5.3610 5.3610 60.00 60.00 60.00
Fractional coordinates of all 4 atoms:
In: 0.7500 0.7500 0.7500
K: 0.2500 0.2500 0.2500
H: 0.0000 0.0000 0.0000
Br: 0.5000 0.5000 0.5000

Entry 2:
Density functional theory data (GGA-PBE) for an optimized crystal structure of MgRh2PbF.

Summary:
- magnetic moment (μB/f.u.) = 0.0
- uncorrected formation energy (meV per atom) = -297

Lattice parameters (Å, degrees): 4.9471 3.6095 4.9471 90.00 90.00 90.00
Fractional coordinates of all 5 atoms:
F: 0.0000 0.5000 0.0000
Mg: 0.0000 0.0000 0.0000
Rh: 0.0000 0.0000 0.5000
Rh: 0.5000 0.0000 0.0000
Pb: 0.5000 0.5000 0.5000

Entry 3:
Density functional theory data (GGA-PBE) for an optimized crystal structure of Ce8Ru6Pb.

Summary:
- formation energy from the elements (kJ/mol of atoms) = -21.9
- magnetic moment (μB/f.u.) = 3.1

Lattice parameters (Å, degrees): 7.2842 7.2842 7.2842 91.06 91.06 91.06
Each line ends with the local moment (μB).
Fractional coordinates of all 15 atoms:
Ru: 0.3998 0.5864 0.2440  -0.06
Ru: 0.7560 0.6002 0.4136  -0.06
Ru: 0.5864 0.2440 0.3998  -0.06
Ru: 0.6002 0.4136 0.7560  -0.06
Ru: 0.4136 0.7560 0.6002  -0.06
Ru: 0.2440 0.3998 0.5864  -0.06
Ce: 0.3780 0.0617 0.7194  0.30
Ce: 0.7194 0.3780 0.0617  0.30
Ce: 0.2454 0.2454 0.2454  0.45
Ce: 0.6220 0.9383 0.2806  0.30
Ce: 0.2806 0.6220 0.9383  0.30
Ce: 0.9383 0.2806 0.6220  0.30
Ce: 0.7546 0.7546 0.7546  0.45
Ce: 0.0617 0.7194 0.3780  0.30
Pb: 0.0000 0.0000 0.0000  -0.01

Entry 4:
Density functional theory data (GGA-PBE) for an optimized crystal structure of Y2AlNi.

Summary:
- formation energy from the elements (kJ/mol of atoms) = -14.6
- magnetic moment (μB/f.u.) = 0.0

Lattice parameters (Å, degrees): 5.6988 5.6988 5.6988 136.63 136.63 63.00
Fractional coordinates of all 4 atoms:
Ni: 0.7500 0.2500 0.5000
Y: 0.2500 0.7500 0.5000
Y: 0.0000 0.0000 0.0000
Al: 0.5000 0.5000 0.0000

Entry 5:
Density functional theory data (GGA-PBE) for an optimized crystal structure of InNiSnB2.

Summary:
- formation energy from the elements (kJ/mol of atoms) = 79.7
- magnetic moment (μB/f.u.) = 0.0

Lattice parameters (Å, degrees): 3.9818 5.4239 3.9818 90.00 90.00 90.00
Fractional coordinates of all 5 atoms:
Ni: 0.0000 0.0000 0.0000
B: 0.0000 0.0000 0.5000
B: 0.5000 0.0000 0.0000
In: 0.5000 0.5000 0.5000
Sn: 0.0000 0.5000 0.0000

Entry 6:
Density functional theory data (GGA-PBE) for an optimized crystal structure of BaMnW2.

Summary:
- distance to the lowest polymorph of the same formula (meV per atom) = 0
- formation energy from the elements (kJ/mol of atoms) = 71.5
- magnetic moment (μB/f.u.) = 3.3

Lattice parameters (Å, degrees): 3.2591 3.2590 8.1980 90.00 90.00 90.00
Each line ends with the local moment (μB).
Fractional coordinates of all 4 atoms:
Ba: 0.0000 0.0000 0.4955  -0.05
W: 0.5000 0.5000 0.1691  0.28
W: 0.0000 0.0000 0.0053  -0.38
Mn: 0.5000 0.5000 0.8301  3.33

Entry 7:
Density functional theory data (GGA-PBE) for an optimized crystal structure of LiYMg2Ti.

Summary:
- distance to the lowest polymorph of the same formula (meV per atom) = 0
- formation energy from the elements (kJ/mol of atoms) = 67.7
- magnetic moment (μB/f.u.) = 0.7

Lattice parameters (Å, degrees): 5.4349 5.0742 5.4349 90.00 90.00 90.00
Each line ends with the local moment (μB).
Fractional coordinates of all 5 atoms:
Ti: 0.0000 0.0000 0.0000  0.51
Y: 0.0000 0.5000 0.0000  0.03
Li: 0.5000 0.5000 0.5000  0.00
Mg: 0.5000 0.0000 0.0000  0.02
Mg: 0.0000 0.0000 0.5000  0.01

Entry 8:
Density functional theory data (GGA-PBE) for an optimized crystal structure of Li2TaRu.

Summary:
- distance to the lowest polymorph of the same formula (meV per atom) = 40
- formation energy from the elements (kJ/mol of atoms) = 12.4
- magnetic moment (μB/f.u.) = 0.0

Lattice parameters (Å, degrees): 9.4946 9.4946 9.4946 17.39 17.39 17.39
Fractional coordinates of all 4 atoms:
Ta: 0.7577 0.7577 0.7577
Li: 0.2411 0.2411 0.2411
Li: 0.0018 0.0018 0.0018
Ru: 0.4994 0.4994 0.4994